1.
A geometry-optimized CaAcCdSi structure. Source: Alexandria via LeMat-Bulk, functional GGA-PBE.

Cell lengths 5.4401, 5.4401, 5.4401 Å; angles 60.00, 60.00, 60.00 degrees
With the nearest neighbours (Å) after each atom.
Atoms (fractional coordinates):
Ca: 0.0000 0.0000 0.0000  4 Cd 3.33, 4 Si 3.33
Ac: 0.5000 0.5000 0.5000  4 Cd 3.33, 4 Si 3.33
Cd: 0.7500 0.7500 0.7500  4 Ca 3.33, 4 Ac 3.33
Si: 0.2500 0.2500 0.2500  4 Ac 3.33, 4 Ca 3.33

Energy relative to the elements, uncorrected = -0.32 eV/atom
Symmetry = F-43m (216)
DOS at the Fermi energy = 3.086 states/eV per cell

2.
A geometry-optimized CaAcSmCd structure. Source: Alexandria via LeMat-Bulk, functional GGA-PBE.

Cell lengths 5.7856, 5.7856, 5.7856 Å; angles 60.00, 60.00, 60.00 degrees
With the nearest neighbours (Å) after each atom.
Atoms (fractional coordinates):
Ca: 0.0000 0.0000 0.0000  4 Cd 3.54, 4 Ac 3.54
Ac: 0.7500 0.7500 0.7500  4 Ca 3.54, 4 Sm 3.54
Sm: 0.5000 0.5000 0.5000  4 Cd 3.54, 4 Ac 3.54
Cd: 0.2500 0.2500 0.2500  4 Ca 3.54, 4 Sm 3.54

Symmetry = F-43m (216)
Polymorph energy (0 for the lowest one) = 0.213 eV per atom
DOS at the Fermi energy = 4.432 states/eV per cell
Energy relative to the elements = 0.071 eV per atom